(1)
First-principles (PBE) data for V5CrTc6 after structural relaxation, as listed in Alexandria.

Lattice parameters (Å, degrees): 7.381 7.381 7.381 146.37 131.64 60.19
Positions (direct):
V: 0.000 0.000 0.000
V: 0.167 0.667 0.500
V: 0.335 0.335 0.000
V: 0.665 0.665 0.000
V: 0.833 0.333 0.500
Cr: 0.500 0.000 0.500
Tc: 0.084 0.834 0.250
Tc: 0.250 0.500 0.750
Tc: 0.416 0.166 0.250
Tc: 0.584 0.834 0.750
Tc: 0.750 0.500 0.250
Tc: 0.916 0.166 0.750

SG: No. 71
Crystal system: orthorhombic

(2)
First-principles (PBE) data for DyHfNi10 after structural relaxation, as listed in Alexandria.

Lattice parameters (Å, degrees): 3.962 4.796 8.307 90.00 90.00 90.00
Positions (direct):
Dy: 0.000 0.000 0.000
Hf: 0.000 0.500 0.500
Ni: 0.000 0.000 0.340
Ni: 0.000 0.000 0.660
Ni: 0.000 0.500 0.176
Ni: 0.000 0.500 0.824
Ni: 0.500 0.000 0.500
Ni: 0.500 0.254 0.257
Ni: 0.500 0.254 0.743
Ni: 0.500 0.500 0.000
Ni: 0.500 0.746 0.257
Ni: 0.500 0.746 0.743

SG: No. 47
Crystal system: orthorhombic

(3)
First-principles (PBE) data for Th6Si2GeAs3 after structural relaxation, as listed in Alexandria.

Lattice parameters (Å, degrees): 9.556 9.556 8.542 102.93 102.93 25.82
Positions (direct):
Th: 0.002 0.002 0.249
Th: 0.332 0.332 0.420
Th: 0.334 0.334 0.912
Th: 0.666 0.666 0.088
Th: 0.668 0.668 0.580
Th: 0.998 0.998 0.751
Si: 0.167 0.167 0.333
Si: 0.833 0.833 0.667
Ge: 0.500 0.500 0.000
As: 0.166 0.166 0.833
As: 0.500 0.500 0.500
As: 0.834 0.834 0.167

SG: No. 12
Formation energy from raw total energies in eV/atom: -1.06
Crystal system: monoclinic

(4)
First-principles (PBE) data for MgVSe2Br after structural relaxation, as listed in Alexandria.

Lattice parameters (Å, degrees): 4.900 4.900 5.139 90.00 90.00 90.00
Positions (direct):
Mg: 0.000 0.000 0.000
V: 0.500 0.500 0.500
Se: 0.000 0.500 0.500
Se: 0.500 0.000 0.500
Br: 0.500 0.500 0.000

SG: No. 123
Energy above the lowest structure with this stoichiometry in meV per atom: 0.0
Formation energy from raw total energies in eV/atom: -0.31
Crystal system: tetragonal

How do the records compare in magnetization? In the order shown, they have 0.01, 2.59, 0.00, 1.79 μB/f.u..
How do the records compare in calculated total energy? In the order shown, they have -10.08, -6.34, -7.22, -4.18 eV/atom.